A relaxed structure of SrTa3. Source: Alexandria via LeMat-Bulk, functional PBE.

```
data_SrTa3
_space_group_name_H-M_alt 'P 1'
_space_group_IT_number 1
_cell_length_a 4.820
_cell_length_b 5.861
_cell_length_c 7.219
_cell_angle_alpha 90.00
_cell_angle_beta 90.00
_cell_angle_gamma 90.00
loop_
_space_group_symop_operation_xyz
'x,y,z'
loop_
_atom_site_label
_atom_site_fract_x
_atom_site_fract_y
_atom_site_fract_z
_atom_site_occupancy
Sr1 0.250 0.250 0.086 1
Sr2 0.750 0.750 0.914 1
Ta1 0.250 0.002 0.608 1
Ta2 0.250 0.498 0.608 1
Ta3 0.250 0.750 0.295 1
Ta4 0.750 0.250 0.705 1
Ta5 0.750 0.502 0.392 1
Ta6 0.750 0.998 0.392 1
```

Values from the calculation:
Energy of formation from the pure elements in eV/atom: 0.6974

***

A relaxed structure of V3CdC. Source: Alexandria via LeMat-Bulk, functional PBE.

```
data_V3CdC
_space_group_name_H-M_alt 'P 1'
_space_group_IT_number 1
_cell_length_a 4.917
_cell_length_b 4.917
_cell_length_c 4.917
_cell_angle_alpha 90.00
_cell_angle_beta 90.00
_cell_angle_gamma 90.00
loop_
_space_group_symop_operation_xyz
'x,y,z'
loop_
_atom_site_label
_atom_site_fract_x
_atom_site_fract_y
_atom_site_fract_z
_atom_site_occupancy
V1 0.000 0.000 0.500 1
V2 0.000 0.500 0.000 1
V3 0.500 0.000 0.000 1
Cd1 0.000 0.000 0.000 1
C1 0.500 0.500 0.500 1
```

Values from the calculation:
Energy of formation from the pure elements in eV/atom: 2.9654

***

A relaxed structure of Tm6Te3AsRh2. Source: Alexandria via LeMat-Bulk, functional PBE.

```
data_Tm6Te3AsRh2
_space_group_name_H-M_alt 'P 1'
_space_group_IT_number 1
_cell_length_a 7.145
_cell_length_b 7.145
_cell_length_c 7.466
_cell_angle_alpha 99.28
_cell_angle_beta 99.28
_cell_angle_gamma 120.05
loop_
_space_group_symop_operation_xyz
'x,y,z'
loop_
_atom_site_label
_atom_site_fract_x
_atom_site_fract_y
_atom_site_fract_z
_atom_site_occupancy
Tm1 0.087 0.431 0.791 1
Tm2 0.227 0.227 0.208 1
Tm3 0.431 0.087 0.791 1
Tm4 0.569 0.913 0.209 1
Tm5 0.773 0.773 0.792 1
Tm6 0.913 0.569 0.209 1
Te1 0.000 0.000 0.500 1
Te2 0.337 0.663 0.500 1
Te3 0.663 0.337 0.500 1
As1 0.500 0.500 0.000 1
Rh1 0.167 0.833 0.000 1
Rh2 0.833 0.167 0.000 1
```

Values from the calculation:
Formation energy without anion corrections in meV/atom: -1136

***

A relaxed structure of MgOsRh2. Source: Alexandria via LeMat-Bulk, functional PBE.

```
data_MgOsRh2
_space_group_name_H-M_alt 'P 1'
_space_group_IT_number 1
_cell_length_a 2.783
_cell_length_b 3.788
_cell_length_c 5.588
_cell_angle_alpha 90.00
_cell_angle_beta 90.11
_cell_angle_gamma 90.00
loop_
_space_group_symop_operation_xyz
'x,y,z'
loop_
_atom_site_label
_atom_site_fract_x
_atom_site_fract_y
_atom_site_fract_z
_atom_site_occupancy
Mg1 0.000 0.000 0.000 1
Os1 0.000 0.000 0.500 1
Rh1 0.499 0.500 0.739 1
Rh2 0.501 0.500 0.261 1
```

Values from the calculation:
Energy of formation from the pure elements in eV/atom: -0.0754

***

A relaxed structure of CaFeMo2. Source: Alexandria via LeMat-Bulk, functional PBE.

```
data_CaFeMo2
_space_group_name_H-M_alt 'P 1'
_space_group_IT_number 1
_cell_length_a 5.891
_cell_length_b 5.891
_cell_length_c 4.901
_cell_angle_alpha 114.41
_cell_angle_beta 114.41
_cell_angle_gamma 26.84
loop_
_space_group_symop_operation_xyz
'x,y,z'
loop_
_atom_site_label
_atom_site_fract_x
_atom_site_fract_y
_atom_site_fract_z
_atom_site_occupancy
Ca1 0.000 0.000 0.000 1
Fe1 0.500 0.500 0.500 1
Mo1 0.206 0.206 0.706 1
Mo2 0.794 0.794 0.294 1
```

Values from the calculation:
Energy of formation from the pure elements in eV/atom: 0.5608

***

A relaxed structure of LaSiAg2. Source: Alexandria via LeMat-Bulk, functional PBE.

```
data_LaSiAg2
_space_group_name_H-M_alt 'P 1'
_space_group_IT_number 1
_cell_length_a 9.324
_cell_length_b 9.324
_cell_length_c 9.324
_cell_angle_alpha 20.72
_cell_angle_beta 20.72
_cell_angle_gamma 20.72
loop_
_space_group_symop_operation_xyz
'x,y,z'
loop_
_atom_site_label
_atom_site_fract_x
_atom_site_fract_y
_atom_site_fract_z
_atom_site_occupancy
La1 0.000 0.000 0.000 1
Si1 0.758 0.758 0.758 1
Ag1 0.236 0.236 0.236 1
Ag2 0.490 0.490 0.490 1
```

Values from the calculation:
Formation energy without anion corrections in meV/atom: 191

***

A relaxed structure of KPuTeO6. Source: Alexandria via LeMat-Bulk, functional PBE.

```
data_KPuTeO6
_space_group_name_H-M_alt 'P 1'
_space_group_IT_number 1
_cell_length_a 5.680
_cell_length_b 5.680
_cell_length_c 11.686
_cell_angle_alpha 90.00
_cell_angle_beta 90.00
_cell_angle_gamma 120.00
loop_
_space_group_symop_operation_xyz
'x,y,z'
loop_
_atom_site_label
_atom_site_fract_x
_atom_site_fract_y
_atom_site_fract_z
_atom_site_occupancy
K1 0.000 0.000 0.000 1
K2 0.000 0.000 0.500 1
Pu1 0.333 0.667 0.250 1
Pu2 0.667 0.333 0.750 1
Te1 0.333 0.667 0.750 1
Te2 0.667 0.333 0.250 1
O1 0.012 0.384 0.156 1
O2 0.012 0.628 0.344 1
O3 0.372 0.384 0.344 1
O4 0.372 0.988 0.156 1
O5 0.384 0.012 0.656 1
O6 0.384 0.372 0.844 1
O7 0.616 0.628 0.156 1
O8 0.616 0.988 0.344 1
O9 0.628 0.012 0.844 1
O10 0.628 0.616 0.656 1
O11 0.988 0.372 0.656 1
O12 0.988 0.616 0.844 1
```

Values from the calculation:
Formation energy without anion corrections in meV/atom: -1788

***

A relaxed structure of Rb2Y2Pb. Source: Alexandria via LeMat-Bulk, functional PBE.

```
data_Rb2Y2Pb
_space_group_name_H-M_alt 'P 1'
_space_group_IT_number 1
_cell_length_a 11.754
_cell_length_b 11.754
_cell_length_c 3.470
_cell_angle_alpha 90.00
_cell_angle_beta 90.00
_cell_angle_gamma 90.00
loop_
_space_group_symop_operation_xyz
'x,y,z'
loop_
_atom_site_label
_atom_site_fract_x
_atom_site_fract_y
_atom_site_fract_z
_atom_site_occupancy
Rb1 0.199 0.301 0.000 1
Rb2 0.301 0.801 0.000 1
Rb3 0.699 0.199 0.000 1
Rb4 0.801 0.699 0.000 1
Y1 0.095 0.595 0.500 1
Y2 0.405 0.095 0.500 1
Y3 0.595 0.905 0.500 1
Y4 0.905 0.405 0.500 1
Pb1 0.000 0.000 0.000 1
Pb2 0.500 0.500 0.000 1
```

Values from the calculation:
Energy of formation from the pure elements in eV/atom: 0.7694

***

A relaxed structure of ScTcSbS2. Source: Alexandria via LeMat-Bulk, functional PBE.

```
data_ScTcSbS2
_space_group_name_H-M_alt 'P 1'
_space_group_IT_number 1
_cell_length_a 5.045
_cell_length_b 5.045
_cell_length_c 5.074
_cell_angle_alpha 90.00
_cell_angle_beta 90.00
_cell_angle_gamma 90.00
loop_
_space_group_symop_operation_xyz
'x,y,z'
loop_
_atom_site_label
_atom_site_fract_x
_atom_site_fract_y
_atom_site_fract_z
_atom_site_occupancy
Sc1 0.000 0.000 0.000 1
Tc1 0.500 0.500 0.000 1
Sb1 0.500 0.500 0.500 1
S1 0.000 0.500 0.500 1
S2 0.500 0.000 0.500 1
```

Values from the calculation:
Formation energy without anion corrections in meV/atom: 798

***

A relaxed structure of Ti4AuN. Source: Alexandria via LeMat-Bulk, functional PBE.

```
data_Ti4AuN
_space_group_name_H-M_alt 'P 1'
_space_group_IT_number 1
_cell_length_a 3.977
_cell_length_b 3.977
_cell_length_c 6.221
_cell_angle_alpha 90.00
_cell_angle_beta 90.00
_cell_angle_gamma 90.00
loop_
_space_group_symop_operation_xyz
'x,y,z'
loop_
_atom_site_label
_atom_site_fract_x
_atom_site_fract_y
_atom_site_fract_z
_atom_site_occupancy
Ti1 0.000 0.000 0.165 1
Ti2 0.000 0.000 0.835 1
Ti3 0.000 0.500 0.500 1
Ti4 0.500 0.000 0.500 1
Au1 0.500 0.500 0.000 1
N1 0.000 0.000 0.500 1
```

Values from the calculation:
Formation energy without anion corrections in meV/atom: -115

***

A relaxed structure of Y2InPb. Source: Alexandria via LeMat-Bulk, functional PBE.

```
data_Y2InPb
_space_group_name_H-M_alt 'P 1'
_space_group_IT_number 1
_cell_length_a 9.835
_cell_length_b 9.835
_cell_length_c 9.835
_cell_angle_alpha 22.05
_cell_angle_beta 22.05
_cell_angle_gamma 22.05
loop_
_space_group_symop_operation_xyz
'x,y,z'
loop_
_atom_site_label
_atom_site_fract_x
_atom_site_fract_y
_atom_site_fract_z
_atom_site_occupancy
Y1 0.248 0.248 0.248 1
Y2 0.752 0.752 0.752 1
In1 0.500 0.500 0.500 1
Pb1 0.000 0.000 0.000 1
```

Values from the calculation:
Energy of formation from the pure elements in eV/atom: -0.3652

***

A relaxed structure of AcZrPb2. Source: Alexandria via LeMat-Bulk, functional PBE.

```
data_AcZrPb2
_space_group_name_H-M_alt 'P 1'
_space_group_IT_number 1
_cell_length_a 4.064
_cell_length_b 4.064
_cell_length_c 7.119
_cell_angle_alpha 90.00
_cell_angle_beta 90.00
_cell_angle_gamma 90.00
loop_
_space_group_symop_operation_xyz
'x,y,z'
loop_
_atom_site_label
_atom_site_fract_x
_atom_site_fract_y
_atom_site_fract_z
_atom_site_occupancy
Ac1 0.000 0.000 0.000 1
Zr1 0.000 0.000 0.500 1
Pb1 0.500 0.500 0.287 1
Pb2 0.500 0.500 0.713 1
```

Values from the calculation:
Energy of formation from the pure elements in eV/atom: -0.2308